DFT (PBE) results for crystalline Ce5Sb2Pb2 at its relaxed geometry.

VASP energy (eV/atom): -5.682
E_form (uncorrected) (eV per atom): -0.645
Total magnetization (μB/f.u.): 5.9
Density of states at the Fermi level (states/eV/atom): 3.30

a b c (Å): 9.0387 9.0387 8.4331
angles (deg): 90.00 90.00 55.31
Last column: nearest neighbours and their distance in Å.
Atoms (fractional coordinates):
Ce: 0.0000 0.0000 0.0000  4 Sb 3.26, 2 Pb 3.30
Ce: 0.0341 0.6975 0.6659  3 Sb 3.16-3.36, 3 Pb 3.24-3.35
Ce: 0.1975 0.5341 0.1659  3 Sb 3.16-3.36, 3 Pb 3.24-3.35
Ce: 0.3025 0.9659 0.6659  3 Sb 3.16-3.36, 3 Pb 3.24-3.35
Ce: 0.4659 0.8025 0.1659  3 Sb 3.16-3.36, 3 Pb 3.24-3.35
Ce: 0.5000 0.5000 0.5000  4 Sb 3.26, 2 Pb 3.30
Ce: 0.5341 0.1975 0.8341  3 Sb 3.16-3.36, 3 Pb 3.24-3.35
Ce: 0.6975 0.0341 0.3341  3 Sb 3.16-3.36, 3 Pb 3.24-3.35
Ce: 0.8025 0.4659 0.8341  3 Sb 3.16-3.36, 3 Pb 3.24-3.35
Ce: 0.9659 0.3025 0.3341  3 Sb 3.16-3.36, 3 Pb 3.24-3.35
Sb: 0.1369 0.8631 0.3613  8 Ce 3.16-3.36, 1 Sb 3.28
Sb: 0.3631 0.6369 0.8613  8 Ce 3.16-3.36, 1 Sb 3.28
Sb: 0.6369 0.3631 0.1387  8 Ce 3.16-3.36, 1 Sb 3.28
Sb: 0.8631 0.1369 0.6387  8 Ce 3.16-3.36, 1 Sb 3.28
Pb: 0.2058 0.2058 0.0000  7 Ce 3.24-3.35
Pb: 0.2942 0.2942 0.5000  7 Ce 3.24-3.35
Pb: 0.7058 0.7058 0.5000  7 Ce 3.24-3.35
Pb: 0.7942 0.7942 0.0000  7 Ce 3.24-3.35